Entry 1:
TlCdCoPb2 | PBE-GGA | optimized geometry

Geometry as CIF:
```
data_TlCdCoPb2
_space_group_name_H-M_alt 'P 4/m m m'
_space_group_IT_number 123
_space_group_name_Hall '-P 4 2'
_cell_length_a 5.138
_cell_length_b 5.138
_cell_length_c 5.141
_cell_angle_alpha 90.00
_cell_angle_beta 90.00
_cell_angle_gamma 90.00
loop_
_atom_site_label
_atom_site_fract_x
_atom_site_fract_y
_atom_site_fract_z
Tl1 0.000 0.000 0.000
Cd1 0.500 0.500 0.000
Co1 0.000 0.000 0.500
Pb1 0.000 0.500 0.500
```

Computed properties:
Offset from the most stable computed form = 0.21 eV per formula unit
ΔE_f = 0.219 eV/atom
Fermi-level density of states = 3.67 states/eV per cell

---

Entry 2:
Ba2Zn3Hg | PBE-GGA | optimized geometry

Geometry as CIF:
```
data_Ba2Zn3Hg
_space_group_name_H-M_alt 'F m m m'
_space_group_IT_number 69
_space_group_name_Hall '-F 2 2'
_cell_length_a 9.036
_cell_length_b 9.576
_cell_length_c 16.726
_cell_angle_alpha 90.00
_cell_angle_beta 90.00
_cell_angle_gamma 90.00
loop_
_atom_site_label
_atom_site_fract_x
_atom_site_fract_y
_atom_site_fract_z
Ba1 0.245 0.000 0.000
Ba2 0.250 0.250 0.250
Zn1 0.000 0.000 0.339
Zn2 0.000 0.241 0.420
Hg1 0.000 0.000 0.167
```

Computed properties:
ΔE_f = -0.275 eV/atom
Fermi-level density of states = 31.62 states/eV per cell

---

Entry 3:
Ca2NiAs3Rh4 | PBE-GGA | optimized geometry

Geometry as CIF:
```
data_Ca2NiAs3Rh4
_space_group_name_H-M_alt 'P -4 m 2'
_space_group_IT_number 115
_cell_length_a 4.181
_cell_length_b 4.181
_cell_length_c 10.154
_cell_angle_alpha 90.00
_cell_angle_beta 90.00
_cell_angle_gamma 90.00
loop_
_space_group_symop_operation_xyz
'x,y,z'
'y,-x,-z'
'-x,-y,z'
'-y,x,-z'
'-x,y,z'
'-y,-x,-z'
'x,-y,z'
'y,x,-z'
loop_
_atom_site_label
_atom_site_fract_x
_atom_site_fract_y
_atom_site_fract_z
Ca1 0.000 0.500 0.241
Ni1 0.500 0.500 0.000
As1 0.000 0.000 0.000
As2 0.000 0.500 0.637
Rh1 0.000 0.000 0.500
Rh2 0.000 0.500 0.873
Rh3 0.500 0.500 0.500
```

Computed properties:
ΔE_f = -0.692 eV/atom
Fermi-level density of states = 7.53 states/eV per cell

---

Entry 4:
RbNdTm4S8 | PBE-GGA | optimized geometry

Geometry as CIF:
```
data_RbNdTm4S8
_space_group_name_H-M_alt 'R 3 m'
_space_group_IT_number 160
_space_group_name_Hall 'R 3 -2"'
_cell_length_a 8.1556
_cell_length_b 8.1556
_cell_length_c 20.6275
_cell_angle_alpha 90.00
_cell_angle_beta 90.00
_cell_angle_gamma 120.00
loop_
_atom_site_label
_atom_site_fract_x
_atom_site_fract_y
_atom_site_fract_z
Rb1 0.0000 0.0000 0.0000
Nd1 0.0000 0.0000 0.3634
Tm1 0.0000 0.0000 0.7432
Tm2 0.0113 0.5056 0.8704
S1 0.0000 0.0000 0.1401
S2 0.0000 0.0000 0.6120
S3 0.0133 0.5067 0.1232
S4 0.1879 0.3759 0.9410
```

Computed properties:
Uncorrected formation energy = -1.8808 eV per atom
Fermi-level density of states = 0.00 states/eV per cell

---

Entry 5:
NdUNiS4 | PBE-GGA | optimized geometry

Geometry as CIF:
```
data_NdUNiS4
_space_group_name_H-M_alt 'P 1 21/m 1'
_space_group_IT_number 11
_cell_length_a 6.335
_cell_length_b 5.879
_cell_length_c 7.771
_cell_angle_alpha 90.00
_cell_angle_beta 106.87
_cell_angle_gamma 90.00
loop_
_space_group_symop_operation_xyz
'x,y,z'
'-x,-y,-z'
'-x,y+1/2,-z'
'x,-y+1/2,z'
loop_
_atom_site_label
_atom_site_fract_x
_atom_site_fract_y
_atom_site_fract_z
Nd1 0.246 0.250 0.439
U1 0.259 0.250 0.943
Ni1 0.264 0.750 0.174
S1 0.067 0.750 0.896
S2 0.070 0.750 0.374
S3 0.481 0.512 0.758
```

Computed properties:
Uncorrected formation energy = -1.3581 eV per atom
Fermi-level density of states = 12.78 states/eV per cell

---

Entry 6:
CaTl2ZnSb2 | PBE-GGA | optimized geometry

Geometry as CIF:
```
data_CaTl2ZnSb2
_space_group_name_H-M_alt 'P m c 21'
_space_group_IT_number 26
_cell_length_a 4.665
_cell_length_b 10.172
_cell_length_c 7.599
_cell_angle_alpha 90.00
_cell_angle_beta 90.00
_cell_angle_gamma 90.00
loop_
_space_group_symop_operation_xyz
'x,y,z'
'-x,-y,z+1/2'
'-x,y,z'
'x,-y,z+1/2'
loop_
_atom_site_label
_atom_site_fract_x
_atom_site_fract_y
_atom_site_fract_z
Ca1 0.000 0.036 0.000
Tl1 0.000 0.352 0.334
Tl2 0.500 0.386 0.002
Zn1 0.500 0.145 0.658
Sb1 0.000 0.278 0.736
Sb2 0.500 0.117 0.277
```

Computed properties:
Uncorrected formation energy = -0.3515 eV per atom
Fermi-level density of states = 1.25 states/eV per cell

---

no.,magnetization (μB/atom)
1,0.17
2,0.00
3,0.06
4,0.00
5,0.22
6,0.00